Computed, not measured: crystalline Cs2RbCo2F7 at its relaxed geometry at the PBE with a Hubbard U level of DFT.

Cell lengths 4.264, 4.264, 11.999 Å; angles 100.20, 100.20, 89.99 degrees
Positions (direct):
Cs: 0.185 0.185 0.367
Cs: 0.815 0.815 0.633
Rb: 0.000 0.000 0.000
Co: 0.411 0.411 0.822
Co: 0.589 0.589 0.178
F: 0.089 0.589 0.177
F: 0.324 0.324 0.646
F: 0.411 0.911 0.823
F: 0.500 0.500 0.000
F: 0.589 0.089 0.177
F: 0.676 0.676 0.354
F: 0.911 0.411 0.823

space-group type = C2/m (12)
total magnetic moment = 6.00 μB per formula unit
calculated total energy = -55.5 eV for the cell shown



Computed, not measured: crystalline CsRb2CoF5 at its relaxed geometry at the PBE with a Hubbard U level of DFT.

Cell lengths 8.395, 8.395, 8.395 Å; angles 124.85, 124.85, 81.79 degrees
Positions (direct):
Cs: 0.250 0.250 0.000
Cs: 0.750 0.750 0.000
Rb: 0.180 0.680 0.859
Rb: 0.320 0.180 0.500
Rb: 0.680 0.820 0.500
Rb: 0.820 0.320 0.141
Co: 0.250 0.750 0.500
Co: 0.750 0.250 0.500
F: 0.000 0.000 0.000
F: 0.018 0.786 0.500
F: 0.214 0.714 0.231
F: 0.286 0.518 0.500
F: 0.482 0.982 0.769
F: 0.500 0.500 0.000
F: 0.518 0.018 0.231
F: 0.714 0.482 0.500
F: 0.786 0.286 0.769
F: 0.982 0.214 0.500

space-group type = I4/mcm (140)
total magnetic moment = 3.00 μB per formula unit
calculated total energy = -80.0 eV for the cell shown



Computed, not measured: crystalline CsRb2Co3F12 at its relaxed geometry at the PBE with a Hubbard U level of DFT.

Cell lengths 7.525, 7.525, 7.525 Å; angles 59.73, 59.73, 59.73 degrees
Positions (direct):
Cs: 0.000 0.000 0.000
Rb: 0.386 0.386 0.386
Rb: 0.614 0.614 0.614
Co: 0.000 0.000 0.500
Co: 0.000 0.500 0.000
Co: 0.500 0.000 0.000
F: 0.111 0.725 0.725
F: 0.128 0.128 0.527
F: 0.128 0.527 0.128
F: 0.275 0.275 0.889
F: 0.275 0.889 0.275
F: 0.473 0.872 0.872
F: 0.527 0.128 0.128
F: 0.725 0.111 0.725
F: 0.725 0.725 0.111
F: 0.872 0.473 0.872
F: 0.872 0.872 0.473
F: 0.889 0.275 0.275

space-group type = R-3m (166)
total magnetic moment = 6.00 μB per formula unit
calculated total energy = -80.0 eV for the cell shown



Computed, not measured: crystalline CsRbCoF4 at its relaxed geometry at the PBE with a Hubbard U level of DFT.

Cell lengths 5.961, 6.485, 8.308 Å; angles 90.00, 105.85, 90.00 degrees
Positions (direct):
Cs: 0.149 0.250 0.114
Cs: 0.851 0.750 0.886
Rb: 0.191 0.750 0.495
Rb: 0.809 0.250 0.505
Co: 0.382 0.250 0.732
Co: 0.618 0.750 0.268
F: 0.209 0.014 0.773
F: 0.209 0.486 0.773
F: 0.287 0.750 0.179
F: 0.320 0.250 0.486
F: 0.680 0.750 0.514
F: 0.713 0.250 0.821
F: 0.791 0.514 0.227
F: 0.791 0.986 0.227

space-group type = P2_1/m (11)
total magnetic moment = 3.00 μB per formula unit
calculated total energy = -63.3 eV for the cell shown



Computed, not measured: crystalline CsRb2CoF8 at its relaxed geometry at the PBE with a Hubbard U level of DFT.

Cell lengths 5.880, 5.880, 8.172 Å; angles 90.00, 90.00, 120.00 degrees
Positions (direct):
Cs: 0.000 0.000 0.000
Rb: 0.333 0.667 0.343
Rb: 0.667 0.333 0.657
Co: 0.000 0.000 0.500
F: 0.145 0.290 0.628
F: 0.145 0.855 0.628
F: 0.290 0.145 0.372
F: 0.333 0.667 0.002
F: 0.667 0.333 0.998
F: 0.710 0.855 0.628
F: 0.855 0.145 0.372
F: 0.855 0.710 0.372

space-group type = P-3m1 (164)
total magnetic moment = 2.00 μB per formula unit
calculated total energy = -48.2 eV for the cell shown



Computed, not measured: crystalline Cs4Rb3CoF8 at its relaxed geometry at the PBE with a Hubbard U level of DFT.

Cell lengths 8.437, 8.437, 8.031 Å; angles 117.22, 117.22, 55.99 degrees
Positions (direct):
Cs: 0.000 0.000 0.000
Cs: 0.000 0.500 0.500
Cs: 0.500 0.000 0.500
Cs: 0.500 0.500 0.000
Rb: 0.000 0.000 0.500
Rb: 0.000 0.500 0.000
Rb: 0.500 0.000 0.000
Co: 0.500 0.500 0.500
F: 0.211 0.211 0.198
F: 0.245 0.245 0.757
F: 0.294 0.694 0.302
F: 0.306 0.706 0.698
F: 0.694 0.294 0.302
F: 0.706 0.306 0.698
F: 0.755 0.755 0.243
F: 0.789 0.789 0.802

space-group type = C2/m (12)
total magnetic moment = 2.00 μB per formula unit
calculated total energy = -64.3 eV for the cell shown